Computed, not measured: a geometry-optimized UCuRh2 structure at the PBE level of DFT.

Lattice parameters (Å, degrees): 3.3633 3.3633 5.8426 90.00 90.00 90.00
Closest atoms and distances in Å follow each position.
Space group P4/mmm (No. 123)
Inequivalent atoms, fractional coordinates:
1 U 0.0000 0.0000 0.0000  8 Rh 2.82, 2 Cu 2.92
2 Cu 0.0000 0.0000 0.5000  8 Rh 2.76, 2 U 2.92
3 Rh 0.5000 0.5000 0.2608  4 Cu 2.76, 2 Rh 2.79-3.05, 4 U 2.82

Energy relative to the lowest polymorph listed for this composition   66 kJ/mol of formula units
Total energy   -7.82 eV/atom

Computed, not measured: a geometry-optimized UCu5Rh6 structure at the PBE level of DFT.

Lattice parameters (Å, degrees): 4.0515 12.1128 6.9191 90.00 90.00 90.00
Closest atoms and distances in Å follow each position.
Space group Cmmm (No. 65)
Inequivalent atoms, fractional coordinates:
1 U 0.0000 0.0000 0.0000  8 Rh 2.67-2.68, 4 Cu 2.95
2 Cu 0.0000 0.0000 0.5000  8 Rh 2.64-2.65, 4 Cu 2.85
3 Cu 0.0000 0.3225 0.0000  8 Rh 2.58-2.77, 2 Cu 2.68
4 Cu 0.0000 0.3351 0.5000  8 Rh 2.63-2.65, 4 Cu 2.85-2.89
5 Rh 0.0000 0.1668 0.2546  7 Cu 2.58-2.69, 1 U 2.68, 4 Rh 2.86
6 Rh 0.0000 0.5000 0.2520  6 Cu 2.63-2.77, 2 U 2.67, 4 Rh 2.86

Total energy   -6.49 eV/atom

Computed, not measured: a geometry-optimized V2CuRh structure at the PBE level of DFT.

Lattice parameters (Å, degrees): 2.6652 2.6652 7.5255 90.00 90.00 90.00
Closest atoms and distances in Å follow each position.
Space group P4/mmm (No. 123)
Inequivalent atoms, fractional coordinates:
1 V 0.0000 0.0000 0.2488  4 Rh 2.66, 4 V 2.67, 4 Cu 2.67
2 Cu 0.5000 0.5000 0.5000  4 Cu 2.67, 8 V 2.67
3 Rh 0.5000 0.5000 0.0000  8 V 2.66, 4 Rh 2.67

Total energy   -7.50 eV/atom

Computed, not measured: a geometry-optimized V2CuRh7 structure at the PBE level of DFT.

Lattice parameters (Å, degrees): 8.0737 14.4299 2.7039 90.00 90.00 90.00
Closest atoms and distances in Å follow each position.
Space group Cmmm (No. 65)
Inequivalent atoms, fractional coordinates:
1 V 0.0000 0.1706 0.0000  5 Rh 2.39-2.46
2 Cu 0.0000 0.5000 0.5000  10 Rh 2.70-2.73, 2 Cu 2.70
3 Rh 0.0000 0.0000 0.0000  2 V 2.46, 6 Rh 2.60-2.70
4 Rh 0.0000 0.3129 0.5000  2 V 2.46, 6 Rh 2.63-2.70, 1 Cu 2.70
5 Rh 0.2323 0.3997 0.0000  1 V 2.39, 3 Rh 2.60-2.63

Total energy   -7.11 eV/atom

Computed, not measured: a geometry-optimized V6CuRh12 structure at the PBE level of DFT.

Lattice parameters (Å, degrees): 11.7687 11.7687 6.6146 90.00 90.00 120.00
Closest atoms and distances in Å follow each position.
Space group R-3 (No. 148, hexagonal axes)
Inequivalent atoms, fractional coordinates:
1 V 0.0240 0.2682 0.3446  9 Rh 2.52-2.80, 2 V 2.74
2 Cu 0.0000 0.0000 0.0000  12 Rh 2.75-2.76
3 Rh 0.0086 0.1417 0.6615  4 V 2.52-2.74, 7 Rh 2.65-2.82, 1 Cu 2.76
4 Rh 0.0654 0.5628 0.6693  5 V 2.61-2.80, 6 Rh 2.65-2.82, 1 Cu 2.75

Total energy   -8.03 eV/atom

Computed, not measured: a geometry-optimized VCuRh structure at the PBE level of DFT.

Lattice parameters (Å, degrees): 2.7227 2.7525 11.2955 90.00 90.00 90.00
Closest atoms and distances in Å follow each position.
Space group Amm2 (No. 38)
Inequivalent atoms, fractional coordinates:
1 V 0.0000 0.0000 0.0000  2 Cu 2.53, 4 Rh 2.55, 4 V 2.72-2.75
2 Cu 0.0000 0.0000 0.6884  2 V 2.53, 4 Rh 2.68, 4 Cu 2.72-2.75
3 Rh 0.5000 0.0000 0.3531  4 V 2.55, 4 Cu 2.68, 4 Rh 2.72-2.75

Energy relative to the lowest polymorph listed for this composition   78 kJ/mol of formula units
Total energy   -6.75 eV/atom

Number 1: energy of formation -0.301 eV/atom. Number 2: energy of formation -0.170 eV/atom. Number 3: energy of formation -0.081 eV/atom. Number 4: energy of formation 0.266 eV/atom. Number 5: energy of formation -0.293 eV/atom. Number 6: energy of formation 0.107 eV/atom.